Material: CuAu2Cl
Method: DFT, PBE
State: relaxed

Lattice parameters (Å, degrees): 8.3062 8.3062 8.3062 22.51 22.51 22.51
Closest atoms and distances in Å follow each position.
Positions (direct):
1 Au 0.0098 0.0098 0.0098  3 Cu 2.64, 3 Au 2.82
2 Au 0.2562 0.2562 0.2562  3 Au 2.82
3 Cu 0.7533 0.7533 0.7533  3 Cl 2.38, 3 Au 2.64
4 Cl 0.4806 0.4806 0.4806  3 Cu 2.38

E_tot	-12.38	eV per cell
energy above the lowest structure with this stoichiometry	0.0653	eV per atom
raw formation energy	0.030	eV/atom
V	73.7	Å³/cell
crystal system	trigonal
density of states at the Fermi level	2.0	states/eV/cell